Model a:
LaRh2I | GGA-PBE | optimized geometry

Properties
Spin magnetization (μB/atom): 0.0000

a b c (Å): 4.605 4.605 9.419
angles (deg): 75.85 75.85 90.00
Sites, in units of the cell vectors:
La1 0.000 0.000 0.000
La2 0.750 0.250 0.500
Rh1 0.875 0.880 0.750
Rh2 0.120 0.625 0.250
Rh3 0.375 0.370 0.750
Rh4 0.630 0.125 0.250
I1 0.500 0.500 0.000
I2 0.250 0.750 0.500


Model b:
LaRh2I | GGA-PBE | optimized geometry

Properties
Spin magnetization (μB/atom): 0.0000

a b c (Å): 4.919 4.919 4.919
angles (deg): 60.00 60.00 60.00
Sites, in units of the cell vectors:
Rh1 0.750 0.750 0.750
Rh2 0.250 0.250 0.250
I1 0.000 0.000 0.000
La1 0.500 0.500 0.500


Which is most stable, and by how much? model b, by 15 meV/atom.


Model a:
LaRh3I | GGA-PBE | optimized geometry

Properties
Spin magnetization (μB/atom): 0.2234

a b c (Å): 5.010 5.010 5.010
angles (deg): 90.00 90.00 90.00
Site moments in Bohr magnetons follow the coordinates.
Sites, in units of the cell vectors:
Rh1 0.000 0.500 0.000  0.43
Rh2 0.000 0.000 0.500  0.26
Rh3 0.500 0.000 0.000  0.33
La1 0.000 0.000 0.000  -0.03
I1 0.500 0.500 0.500  0.10


Model b:
LaRh3I | GGA-PBE | optimized geometry

Properties
Spin magnetization (μB/atom): 0.0000

a b c (Å): 4.896 4.896 4.896
angles (deg): 90.00 90.00 90.00
Sites, in units of the cell vectors:
Rh1 0.500 0.000 0.000
Rh2 0.000 0.000 0.500
Rh3 0.000 0.500 0.000
La1 0.500 0.500 0.500
I1 0.000 0.000 0.000


Which is most stable, and by how much? model b, by 698 meV/atom.


Model a:
LaSb2RhI | GGA-PBE | optimized geometry

Properties
Spin magnetization (μB/atom): 0.3723

a b c (Å): 6.102 6.102 6.077
angles (deg): 90.00 90.00 90.00
Site moments in Bohr magnetons follow the coordinates.
Sites, in units of the cell vectors:
I1 0.000 0.000 0.500  0.04
La1 0.000 0.000 0.000  0.01
Sb1 0.500 0.000 0.000  0.04
Sb2 0.000 0.500 0.000  0.04
Rh1 0.500 0.500 0.500  1.44


Model b:
LaSb2RhI | GGA-PBE | optimized geometry

Properties
Spin magnetization (μB/atom): 0.0000

a b c (Å): 5.170 5.499 5.170
angles (deg): 90.00 90.00 90.00
Sites, in units of the cell vectors:
I1 0.000 0.500 0.000
Sb1 0.500 0.000 0.000
Sb2 0.000 0.000 0.500
Rh1 0.000 0.000 0.000
La1 0.500 0.500 0.500


Which is most stable, and by how much? model b, by 1190 meV/atom.


Model a:
LaTe2RhI | GGA-PBE | optimized geometry

Properties
Spin magnetization (μB/atom): 0.0000

a b c (Å): 5.344 5.344 5.224
angles (deg): 90.00 90.00 90.00
Sites, in units of the cell vectors:
Rh1 0.000 0.000 0.000
La1 0.500 0.500 0.500
I1 0.000 0.000 0.500
Te1 0.500 0.000 0.000
Te2 0.000 0.500 0.000


Model b:
LaTe2RhI | GGA-PBE | optimized geometry

Properties
Spin magnetization (μB/atom): 0.4862

a b c (Å): 6.180 6.180 6.143
angles (deg): 90.00 90.00 90.00
Site moments in Bohr magnetons follow the coordinates.
Sites, in units of the cell vectors:
La1 0.000 0.000 0.000  0.01
Te1 0.500 0.000 0.000  0.16
Te2 0.000 0.500 0.000  0.16
Rh1 0.500 0.500 0.500  1.60
I1 0.000 0.000 0.500  0.05


Which is most stable, and by how much? model a, by 927 meV/atom.


Model a:
La2RuI | GGA-PBE | optimized geometry

Properties
Spin magnetization (μB/atom): 0.0000

a b c (Å): 4.226 4.226 8.573
angles (deg): 104.26 90.00 120.00
Sites, in units of the cell vectors:
La1 0.272 0.044 0.316
La2 0.728 0.956 0.684
I1 0.500 0.500 0.000
Ru1 0.000 0.500 0.500


Model b:
La2RuI | GGA-PBE | optimized geometry

Properties
Spin magnetization (μB/atom): 0.0000

a b c (Å): 5.350 5.350 5.350
angles (deg): 60.00 60.00 60.00
Sites, in units of the cell vectors:
Ru1 0.000 0.000 0.000
La1 0.250 0.250 0.250
La2 0.750 0.750 0.750
I1 0.500 0.500 0.500


Model c:
La2RuI | GGA-PBE | optimized geometry

Properties
Spin magnetization (μB/atom): 0.0000

a b c (Å): 4.198 4.198 8.655
angles (deg): 75.96 75.96 60.00
Sites, in units of the cell vectors:
Ru1 0.668 0.668 0.997
I1 0.499 0.499 0.502
La1 0.061 0.061 0.816
La2 0.272 0.272 0.185


Model d:
La2RuI | GGA-PBE | optimized geometry

Properties
Spin magnetization (μB/atom): 0.0000

a b c (Å): 7.885 7.885 7.040
angles (deg): 55.94 55.94 90.00
Sites, in units of the cell vectors:
Ru1 0.500 0.500 0.000
Ru2 0.250 0.750 0.500
I1 0.750 0.250 0.500
I2 0.000 0.000 0.000
La1 0.875 0.802 0.750
La2 0.552 0.125 0.250
La3 0.375 0.448 0.750
La4 0.198 0.625 0.250


Which is most stable, and by how much? model a, by 12 meV/atom.


Model a:
LaRu3I | GGA-PBE | optimized geometry

Properties
Spin magnetization (μB/atom): 0.8838

a b c (Å): 5.007 5.007 5.007
angles (deg): 90.00 90.00 90.00
Site moments in Bohr magnetons follow the coordinates.
Sites, in units of the cell vectors:
Ru1 0.000 0.500 0.000  1.57
Ru2 0.500 0.000 0.000  1.39
Ru3 0.000 0.000 0.500  1.26
La1 0.000 0.000 0.000  -0.10
I1 0.500 0.500 0.500  0.12


Model b:
LaRu3I | GGA-PBE | optimized geometry

Properties
Spin magnetization (μB/atom): 0.0001

a b c (Å): 4.849 4.849 4.849
angles (deg): 90.00 90.00 90.00
Sites, in units of the cell vectors:
Ru1 0.000 0.500 0.000
Ru2 0.000 0.000 0.500
Ru3 0.500 0.000 0.000
I1 0.000 0.000 0.000
La1 0.500 0.500 0.500


Which is most stable, and by how much? model b, by 863 meV/atom.


Model a:
LaRuI3 | GGA-PBE | optimized geometry

Properties
Spin magnetization (μB/atom): 0.8000

a b c (Å): 6.264 6.264 6.264
angles (deg): 90.00 90.00 90.00
Site moments in Bohr magnetons follow the coordinates.
Sites, in units of the cell vectors:
La1 0.000 0.000 0.000  -0.01
Ru1 0.500 0.500 0.500  2.97
I1 0.000 0.500 0.000  0.03
I2 0.500 0.000 0.000  0.02
I3 0.000 0.000 0.500  0.02


Model b:
LaRuI3 | GGA-PBE | optimized geometry

Properties
Spin magnetization (μB/atom): 0.0001

a b c (Å): 5.358 5.358 5.358
angles (deg): 90.00 90.00 90.00
Sites, in units of the cell vectors:
I1 0.500 0.000 0.000
I2 0.000 0.000 0.500
I3 0.000 0.500 0.000
Ru1 0.000 0.000 0.000
La1 0.500 0.500 0.500


Which is most stable, and by how much? model b, by 371 meV/atom.


Model a:
La4Ru2I5 | GGA-PBE | optimized geometry

Properties
Spin magnetization (μB/atom): 0.0000

a b c (Å): 4.333 9.173 11.379
angles (deg): 99.43 100.98 90.00
Sites, in units of the cell vectors:
I1 0.168 0.864 0.336
I2 0.500 0.000 0.000
I3 0.811 0.669 0.622
I4 0.189 0.331 0.378
I5 0.832 0.136 0.664
Ru1 0.444 0.469 0.888
Ru2 0.556 0.531 0.112
La1 0.660 0.588 0.320
La2 0.340 0.412 0.680
La3 0.976 0.282 0.951
La4 0.024 0.718 0.049


Model b:
La4Ru2I5 | GGA-PBE | optimized geometry

Properties
Spin magnetization (μB/atom): 0.0000

a b c (Å): 4.393 9.099 11.174
angles (deg): 114.03 101.34 90.00
Sites, in units of the cell vectors:
La1 0.000 0.710 0.000
La2 0.325 0.325 0.651
La3 0.000 0.290 0.000
La4 0.675 0.675 0.349
Ru1 0.439 0.439 0.878
Ru2 0.561 0.561 0.122
I1 0.500 0.000 0.000
I2 0.168 0.386 0.336
I3 0.168 0.950 0.336
I4 0.832 0.614 0.664
I5 0.832 0.050 0.664


Which is most stable, and by how much? model a, by 35 meV/atom.


Model a:
La3RuI3 | GGA-PBE | optimized geometry

Properties
Spin magnetization (μB/atom): 0.0000

a b c (Å): 4.398 9.569 12.609
angles (deg): 86.79 90.00 90.00
Sites, in units of the cell vectors:
I1 0.250 0.394 0.135
I2 0.750 0.606 0.865
I3 0.750 0.132 0.380
I4 0.250 0.868 0.620
I5 0.250 0.367 0.620
I6 0.750 0.633 0.380
La1 0.750 0.685 0.120
La2 0.750 0.116 0.669
La3 0.250 0.315 0.880
La4 0.750 0.096 0.104
La5 0.250 0.884 0.331
La6 0.250 0.904 0.896
Ru1 0.750 0.114 0.872
Ru2 0.250 0.886 0.128


Model b:
La3RuI3 | GGA-PBE | optimized geometry

Properties
Spin magnetization (μB/atom): 0.0000

a b c (Å): 8.414 8.414 7.925
angles (deg): 95.06 95.06 108.52
Sites, in units of the cell vectors:
La1 0.085 0.085 0.807
La2 0.915 0.915 0.193
La3 0.559 0.853 0.711
La4 0.147 0.441 0.289
La5 0.441 0.147 0.289
La6 0.853 0.559 0.711
I1 0.175 0.825 0.500
I2 0.250 0.750 0.000
I3 0.750 0.250 0.000
I4 0.624 0.624 0.354
I5 0.825 0.175 0.500
I6 0.376 0.376 0.646
Ru1 0.791 0.791 0.864
Ru2 0.209 0.209 0.136


Which is most stable, and by how much? model a, by 340 meV/atom.


Model a:
LaRuI2 | GGA-PBE | optimized geometry

Properties
Spin magnetization (μB/atom): 0.2491

a b c (Å): 5.342 5.342 9.645
angles (deg): 73.92 73.92 90.00
Site moments in Bohr magnetons follow the coordinates.
Sites, in units of the cell vectors:
La1 0.750 0.250 0.500  0.00
La2 0.000 0.000 0.000  0.00
I1 0.180 0.625 0.250  0.03
I2 0.375 0.430 0.750  0.03
I3 0.570 0.125 0.250  0.03
I4 0.875 0.820 0.750  0.03
Ru1 0.250 0.750 0.500  0.81
Ru2 0.500 0.500 0.000  0.82


Model b:
LaRuI2 | GGA-PBE | optimized geometry

Properties
Spin magnetization (μB/atom): 0.2540

a b c (Å): 5.303 5.303 5.303
angles (deg): 60.00 60.00 60.00
Site moments in Bohr magnetons follow the coordinates.
Sites, in units of the cell vectors:
La1 0.500 0.500 0.500  -0.10
I1 0.750 0.750 0.750  0.03
I2 0.250 0.250 0.250  0.03
Ru1 0.000 0.000 0.000  1.12


Which is most stable, and by how much? model a, by 10 meV/atom.


Model a:
La2TlRuI | GGA-PBE | optimized geometry

Properties
Spin magnetization (μB/atom): 0.0001

a b c (Å): 5.499 5.499 5.348
angles (deg): 90.00 90.00 90.00
Sites, in units of the cell vectors:
La1 0.500 0.000 0.000
La2 0.000 0.500 0.000
Tl1 0.000 0.000 0.500
I1 0.500 0.500 0.500
Ru1 0.000 0.000 0.000


Model b:
La2TlRuI | GGA-PBE | optimized geometry

Properties
Spin magnetization (μB/atom): 0.3263

a b c (Å): 5.895 5.774 5.895
angles (deg): 90.00 90.00 90.00
Site moments in Bohr magnetons follow the coordinates.
Sites, in units of the cell vectors:
Tl1 0.000 0.500 0.000  -0.01
I1 0.000 0.000 0.000  0.00
Ru1 0.500 0.500 0.500  2.09
La1 0.500 0.000 0.000  -0.10
La2 0.000 0.000 0.500  -0.10


Which is most stable, and by how much? model a, by 1414 meV/atom.


Model a:
LaS2I | GGA-PBE | optimized geometry

Properties
Spin magnetization (μB/atom): 0.0000

a b c (Å): 8.348 8.348 8.348
angles (deg): 31.25 31.25 31.25
Sites, in units of the cell vectors:
S1 0.111 0.111 0.111
S2 0.889 0.889 0.889
La1 0.500 0.500 0.500
I1 0.000 0.000 0.000


Model b:
LaS2I | GGA-PBE | optimized geometry

Properties
Spin magnetization (μB/atom): 0.0003

a b c (Å): 5.178 5.178 5.178
angles (deg): 60.00 60.00 60.00
Sites, in units of the cell vectors:
S1 0.750 0.750 0.750
S2 0.250 0.250 0.250
La1 0.500 0.500 0.500
I1 0.000 0.000 0.000


Model c:
LaS2I | GGA-PBE | optimized geometry

Properties
Spin magnetization (μB/atom): 0.0000

a b c (Å): 8.003 8.003 6.703
angles (deg): 53.35 53.35 90.00
Sites, in units of the cell vectors:
S1 0.656 0.125 0.250
S2 0.375 0.344 0.750
S3 0.875 0.906 0.750
S4 0.094 0.625 0.250
La1 0.750 0.250 0.500
La2 0.000 0.000 0.000
I1 0.250 0.750 0.500
I2 0.500 0.500 0.000


Which is most stable, and by how much? model a, by 497 meV/atom.